# 1
NdMg2Zn after structural relaxation. Source: Alexandria via LeMat-Bulk, functional PBE.

Unit cell a=5.044 b=5.044 c=5.044 alpha=60.00 beta=60.00 gamma=60.00
Element x y z (fractional)
Nd 0.000 0.000 0.000
Mg 0.250 0.250 0.250
Mg 0.750 0.750 0.750
Zn 0.500 0.500 0.500

Output
- ΔE_f (meV per atom) = -90
- calculated volume (Å³ per cell) = 90.7


# 2
La8SnAs3I4 after structural relaxation. Source: Alexandria via LeMat-Bulk, functional PBE.

Unit cell a=9.288 b=9.288 c=9.288 alpha=57.62 beta=57.62 gamma=57.62
Element x y z (fractional)
La 0.221 0.743 0.743
La 0.233 0.233 0.233
La 0.257 0.257 0.779
La 0.257 0.779 0.257
La 0.743 0.221 0.743
La 0.743 0.743 0.221
La 0.767 0.767 0.767
La 0.779 0.257 0.257
Sn 0.500 0.500 0.500
As 0.000 0.000 0.500
As 0.000 0.500 0.000
As 0.500 0.000 0.000
I 0.000 0.000 0.000
I 0.000 0.500 0.500
I 0.500 0.000 0.500
I 0.500 0.500 0.000

Output
- calculated volume (Å³ per cell) = 535.7
- total energy (eV per atom) = -5.268


# 3
CrSbSe2Br after structural relaxation. Source: Alexandria via LeMat-Bulk, functional PBE.

Unit cell a=5.006 b=5.006 c=4.834 alpha=90.00 beta=90.00 gamma=90.00
Element x y z (fractional)
Cr 0.000 0.000 0.000
Sb 0.500 0.500 0.500
Se 0.000 0.500 0.000
Se 0.500 0.000 0.000
Br 0.000 0.000 0.500

Output
- calculated volume (Å³ per cell) = 121.2
- excess energy over the best structure of this formula in the dataset (meV per atom) = 0


# 4
KP6S12 after structural relaxation. Source: Alexandria via LeMat-Bulk, functional PBE.

Unit cell a=8.324 b=8.324 c=8.324 alpha=90.28 beta=90.28 gamma=90.28
Element x y z (fractional)
K 0.000 0.000 0.000
P 0.108 0.108 0.392
P 0.108 0.392 0.108
P 0.392 0.108 0.108
P 0.608 0.892 0.892
P 0.892 0.608 0.892
P 0.892 0.892 0.608
S 0.093 0.374 0.374
S 0.126 0.500 0.874
S 0.126 0.874 0.500
S 0.374 0.093 0.374
S 0.374 0.374 0.093
S 0.500 0.126 0.874
S 0.500 0.874 0.126
S 0.626 0.626 0.907
S 0.626 0.907 0.626
S 0.874 0.126 0.500
S 0.874 0.500 0.126
S 0.907 0.626 0.626

Output
- calculated volume (Å³ per cell) = 576.6
- total energy (eV per atom) = -4.212


# 5
InHg2BiPb after structural relaxation. Source: Alexandria via LeMat-Bulk, functional PBE.

Unit cell a=9.260 b=9.260 c=5.942 alpha=90.00 beta=90.00 gamma=142.65
Element x y z (fractional)
In 0.151 0.849 0.750
In 0.849 0.151 0.250
Hg 0.250 0.250 0.000
Hg 0.250 0.250 0.500
Hg 0.750 0.750 0.000
Hg 0.750 0.750 0.500
Bi 0.249 0.751 0.250
Bi 0.751 0.249 0.750
Pb 0.340 0.660 0.750
Pb 0.660 0.340 0.250

Output
- ΔE_f (meV per atom) = 66
- calculated volume (Å³ per cell) = 309.1


# 6
MgZnInRu after structural relaxation. Source: Alexandria via LeMat-Bulk, functional PBE.

Unit cell a=4.565 b=4.565 c=4.565 alpha=60.00 beta=60.00 gamma=60.00
Element x y z (fractional)
Mg 0.000 0.000 0.000
Zn 0.250 0.250 0.250
In 0.750 0.750 0.750
Ru 0.500 0.500 0.500

Output
- ΔE_f (meV per atom) = 3
- calculated volume (Å³ per cell) = 67.3